Crystalline HgSbPbI6 at its relaxed geometry, computed with PBE-GGA.

a = 7.8415 Å, b = 7.8415 Å, c = 7.4256 Å
α = 90.00°, β = 90.00°, γ = 120.00°
Last column: nearest neighbours and their distance in Å.
Element x y z (fractional)
Hg 0.0000 0.0000 0.0000  6 I 3.29
Sb 0.3333 0.6667 0.5000  6 I 3.06
Pb 0.6667 0.3333 0.5000  6 I 3.26
I 0.0200 0.3523 0.2548  1 Sb 3.06, 1 Pb 3.26, 1 Hg 3.29
I 0.0200 0.6677 0.7452  1 Sb 3.06, 1 Pb 3.26, 1 Hg 3.29
I 0.3323 0.3523 0.7452  1 Sb 3.06, 1 Pb 3.26, 1 Hg 3.29
I 0.3323 0.9800 0.2548  1 Sb 3.06, 1 Pb 3.26, 1 Hg 3.29
I 0.6477 0.6677 0.2548  1 Sb 3.06, 1 Pb 3.26, 1 Hg 3.29
I 0.6477 0.9800 0.7452  1 Sb 3.06, 1 Pb 3.26, 1 Hg 3.29

## Properties
Symmetry ... P312 (149)
DOS(E_F) ... 0.395 states/eV/atom
Formation energy (no corrections) ... -0.344 eV/atom
DFT total energy ... -2.281 eV per atom
Total magnetization ... 0.0 μB/f.u.

=====

Crystalline HgSb2PbI at its relaxed geometry, computed with PBE-GGA.

a = 5.5146 Å, b = 5.5146 Å, c = 6.1959 Å
α = 90.00°, β = 90.00°, γ = 90.00°
Last column: nearest neighbours and their distance in Å.
Element x y z (fractional)
Hg 0.0000 0.0000 0.0000  4 Sb 2.76
Sb 0.0000 0.5000 0.0000  2 Hg 2.76
Sb 0.5000 0.0000 0.0000  2 Hg 2.76
Pb 0.5000 0.5000 0.5000  4 I 3.90, 8 Sb 4.15
I 0.0000 0.0000 0.5000  2 Hg 3.10

## Properties
Symmetry ... P4/mmm (123)
DOS(E_F) ... 0.891 states/eV/atom
Formation energy (no corrections) ... 0.525 eV/atom
DFT total energy ... -2.236 eV per atom
Total magnetization ... 0.6 μB/f.u.
Relative energy among the computed polymorphs ... 0 meV per atom

=====

Crystalline ScHgPbI6 at its relaxed geometry, computed with PBE-GGA.

a = 7.8430 Å, b = 7.8430 Å, c = 7.1942 Å
α = 90.35°, β = 90.35°, γ = 119.87°
Last column: nearest neighbours and their distance in Å.
Element x y z (fractional)
Sc 0.0000 0.0000 0.0000  6 I 2.91-2.92
Hg 0.6658 0.3342 0.5000  6 I 3.34-3.39
Pb 0.3319 0.6681 0.0000  6 I 3.22-3.23
I 0.0016 0.3011 0.7620  1 Sc 2.92, 1 Pb 3.22
I 0.0059 0.7048 0.2386  1 Sc 2.91, 1 Pb 3.22
I 0.2952 0.9941 0.7614  1 Sc 2.91, 1 Pb 3.22
I 0.2994 0.3062 0.2393  1 Sc 2.92, 1 Pb 3.23
I 0.6938 0.7006 0.7607  1 Sc 2.92, 1 Pb 3.23
I 0.6989 0.9984 0.2380  1 Sc 2.92, 1 Pb 3.22

## Properties
Symmetry ... C2 (5)
DOS(E_F) ... 0.499 states/eV/atom
Formation energy (no corrections) ... -0.728 eV/atom
DFT total energy ... -2.910 eV per atom
Total magnetization ... 0.0 μB/f.u.

=====

Crystalline HgTe2PbI at its relaxed geometry, computed with PBE-GGA.

a = 5.6427 Å, b = 5.6427 Å, c = 5.8726 Å
α = 90.00°, β = 90.00°, γ = 90.00°
Last column: nearest neighbours and their distance in Å.
Element x y z (fractional)
Hg 0.0000 0.0000 0.0000  4 Te 2.82, 2 I 2.94
Te 0.0000 0.5000 0.0000  2 Hg 2.82
Te 0.5000 0.0000 0.0000  2 Hg 2.82
Pb 0.5000 0.5000 0.5000  4 I 3.99, 8 Te 4.07
I 0.0000 0.0000 0.5000  2 Hg 2.94

## Properties
Symmetry ... P4/mmm (123)
DOS(E_F) ... 0.540 states/eV/atom
Formation energy (no corrections) ... 0.241 eV/atom
DFT total energy ... -2.128 eV per atom
Total magnetization ... 0.0 μB/f.u.
Relative energy among the computed polymorphs ... 0 meV per atom

=====

Crystalline HgTe2PbI at its relaxed geometry, computed with PBE-GGA.

a = 5.9480 Å, b = 5.9480 Å, c = 6.1954 Å
α = 90.00°, β = 90.00°, γ = 90.00°
Last column: nearest neighbours and their distance in Å.
Element x y z (fractional)
Hg 0.0000 0.0000 0.0000  4 I 4.21, 8 Te 4.29
Te 0.0000 0.5000 0.5000  2 Pb 2.97
Te 0.5000 0.0000 0.5000  2 Pb 2.97
Pb 0.5000 0.5000 0.5000  4 Te 2.97, 2 I 3.10
I 0.5000 0.5000 0.0000  2 Pb 3.10

## Properties
Symmetry ... P4/mmm (123)
DOS(E_F) ... 1.719 states/eV/atom
Formation energy (no corrections) ... 0.309 eV/atom
DFT total energy ... -2.060 eV per atom
Total magnetization ... 0.0 μB/f.u.
Relative energy among the computed polymorphs ... 68 meV per atom

=====

Crystalline HgTePbI at its relaxed geometry, computed with PBE-GGA.

a = 8.7788 Å, b = 5.8738 Å, c = 6.9986 Å
α = 90.00°, β = 92.42°, γ = 90.00°
Last column: nearest neighbours and their distance in Å.
Element x y z (fractional)
Hg 0.0000 0.0000 0.0000  2 Te 2.94
Hg 0.5000 0.5000 0.0000  2 Te 2.94
Te 0.0039 0.5000 0.0003  1 Pb 2.93, 2 Hg 2.94
Te 0.5039 0.0000 0.0003  1 Pb 2.93, 2 Hg 2.94
Pb 0.0108 0.5000 0.4192  1 Te 2.93, 3 I 3.24-3.25
Pb 0.5108 0.0000 0.4192  1 Te 2.93, 3 I 3.24-3.25
I 0.1524 0.0000 0.5149  3 Pb 3.24-3.25
I 0.6524 0.5000 0.5149  3 Pb 3.24-3.25

## Properties
Symmetry ... Cm (8)
DOS(E_F) ... 0.255 states/eV/atom
Formation energy (no corrections) ... -0.198 eV/atom
DFT total energy ... -2.373 eV per atom
Total magnetization ... 0.0 μB/f.u.

=====

Crystalline Tl2HgPbI4 at its relaxed geometry, computed with PBE-GGA.

a = 15.1036 Å, b = 4.7715 Å, c = 10.1292 Å
α = 90.00°, β = 111.89°, γ = 90.00°
Last column: nearest neighbours and their distance in Å.
Element x y z (fractional)
Tl 0.2015 0.0000 0.2069  6 I 3.39-3.77
Tl 0.2985 0.5000 0.7931  6 I 3.39-3.77
Tl 0.7015 0.5000 0.2069  6 I 3.39-3.77
Tl 0.7985 0.0000 0.7931  6 I 3.39-3.77
Hg 0.0000 0.5000 0.0000  4 Tl 3.82, 6 I 4.07-4.09
Hg 0.5000 0.0000 0.0000  4 Tl 3.82, 6 I 4.07-4.09
Pb 0.0000 0.0000 0.5000  6 I 3.24-3.27
Pb 0.5000 0.5000 0.5000  6 I 3.24-3.27
I 0.1252 0.5000 0.4327  2 Pb 3.27, 1 Tl 3.61
I 0.1489 0.0000 0.8269  1 Pb 3.24, 2 Tl 3.39
I 0.3511 0.5000 0.1731  1 Pb 3.24, 2 Tl 3.39
I 0.3748 0.0000 0.5673  2 Pb 3.27, 1 Tl 3.61
I 0.6252 0.0000 0.4327  2 Pb 3.27, 1 Tl 3.61
I 0.6489 0.5000 0.8269  1 Pb 3.24, 2 Tl 3.39
I 0.8511 0.0000 0.1731  1 Pb 3.24, 2 Tl 3.39
I 0.8748 0.5000 0.5673  2 Pb 3.27, 1 Tl 3.61

## Properties
Symmetry ... C2/m (12)
DOS(E_F) ... 0.000 states/eV/atom
Formation energy (no corrections) ... -0.553 eV/atom
DFT total energy ... -2.421 eV per atom
Total magnetization ... 0.0 μB/f.u.

=====

Crystalline Y2HgPbI at its relaxed geometry, computed with PBE-GGA.

a = 5.6894 Å, b = 5.6894 Å, c = 5.9432 Å
α = 90.00°, β = 90.00°, γ = 90.00°
Last column: nearest neighbours and their distance in Å.
Element x y z (fractional)
Y 0.0000 0.5000 0.0000  2 Hg 2.84
Y 0.5000 0.0000 0.0000  2 Hg 2.84
Hg 0.0000 0.0000 0.0000  4 Y 2.84, 2 I 2.97
Pb 0.5000 0.5000 0.5000  4 I 4.02, 8 Y 4.11
I 0.0000 0.0000 0.5000  2 Hg 2.97

## Properties
Symmetry ... P4/mmm (123)
DOS(E_F) ... 1.389 states/eV/atom
Formation energy (no corrections) ... 0.332 eV/atom
DFT total energy ... -3.365 eV per atom
Total magnetization ... 0.0 μB/f.u.

=====

Crystalline ZrHgPbI2 at its relaxed geometry, computed with PBE-GGA.

a = 5.6346 Å, b = 5.6346 Å, c = 5.7927 Å
α = 90.00°, β = 90.00°, γ = 90.00°
Last column: nearest neighbours and their distance in Å.
Element x y z (fractional)
Zr 0.0000 0.0000 0.0000  4 I 2.82, 2 Hg 2.90
Hg 0.0000 0.0000 0.5000  2 Zr 2.90
Pb 0.5000 0.5000 0.5000  4 Hg 3.98, 8 I 4.04
I 0.0000 0.5000 0.0000  2 Zr 2.82
I 0.5000 0.0000 0.0000  2 Zr 2.82

## Properties
Symmetry ... P4/mmm (123)
DOS(E_F) ... 1.346 states/eV/atom
Formation energy (no corrections) ... 0.124 eV/atom
DFT total energy ... -3.008 eV per atom
Total magnetization ... 0.0 μB/f.u.

=====

Crystalline HgPdI at its relaxed geometry, computed with PBE-GGA.

a = 9.3703 Å, b = 7.2163 Å, c = 5.6507 Å
α = 90.00°, β = 102.15°, γ = 90.00°
Last column: nearest neighbours and their distance in Å.
Element x y z (fractional)
Hg 0.0429 0.1374 0.3017  3 Pd 2.70-2.80
Hg 0.0429 0.3626 0.8017  3 Pd 2.70-2.80
Hg 0.9571 0.6374 0.1983  3 Pd 2.70-2.80
Hg 0.9571 0.8626 0.6983  3 Pd 2.70-2.80
Pd 0.1897 0.6758 0.9628  2 I 2.68-2.73, 3 Hg 2.70-2.80
Pd 0.1897 0.8242 0.4628  2 I 2.68-2.73, 3 Hg 2.70-2.80
Pd 0.8103 0.1758 0.5372  2 I 2.68-2.73, 3 Hg 2.70-2.80
Pd 0.8103 0.3242 0.0372  2 I 2.68-2.73, 3 Hg 2.70-2.80
I 0.3379 0.5154 0.6597  2 Pd 2.68-2.73
I 0.3379 0.9846 0.1597  2 Pd 2.68-2.73
I 0.6621 0.0154 0.8403  2 Pd 2.68-2.73
I 0.6621 0.4846 0.3403  2 Pd 2.68-2.73

## Properties
Symmetry ... P2_1/c (14)
DOS(E_F) ... 0.302 states/eV/atom
Formation energy (no corrections) ... -0.087 eV/atom
DFT total energy ... -2.435 eV per atom
Total magnetization ... 0.0 μB/f.u.
Relative energy among the computed polymorphs ... 0 meV per atom

=====

Crystalline HgPd2I8 at its relaxed geometry, computed with PBE-GGA.

a = 7.1175 Å, b = 7.1175 Å, c = 11.6011 Å
α = 106.18°, β = 106.18°, γ = 81.97°
Last column: nearest neighbours and their distance in Å.
Element x y z (fractional)
Hg 0.0000 0.0000 0.0000  4 I 2.92
Pd 0.0875 0.0875 0.3749  5 I 2.65-2.73
Pd 0.9125 0.9125 0.6251  5 I 2.65-2.73
I 0.1610 0.1610 0.6204  2 Pd 2.66-2.69
I 0.1773 0.7636 0.8030  1 Pd 2.73, 1 Hg 2.92
I 0.2364 0.8227 0.1970  1 Pd 2.73, 1 Hg 2.92
I 0.3442 0.3442 0.4042  1 Pd 2.65
I 0.6558 0.6558 0.5958  1 Pd 2.65
I 0.7636 0.1773 0.8030  1 Pd 2.73, 1 Hg 2.92
I 0.8227 0.2364 0.1970  1 Pd 2.73, 1 Hg 2.92
I 0.8390 0.8390 0.3796  2 Pd 2.66-2.69

## Properties
Symmetry ... C2/m (12)
DOS(E_F) ... 0.933 states/eV/atom
Formation energy (no corrections) ... -0.071 eV/atom
DFT total energy ... -2.170 eV per atom
Total magnetization ... 0.0 μB/f.u.
Relative energy among the computed polymorphs ... 0 meV per atom

=====

Crystalline Hg2PdI2 at its relaxed geometry, computed with PBE-GGA.

a = 7.2872 Å, b = 7.2872 Å, c = 6.9558 Å
α = 90.00°, β = 90.00°, γ = 90.00°
Last column: nearest neighbours and their distance in Å.
Element x y z (fractional)
Hg 0.1515 0.3485 0.0000  1 Hg 3.12, 2 I 3.49
Hg 0.3485 0.8485 0.0000  1 Hg 3.12, 2 I 3.49
Hg 0.6515 0.1515 0.0000  1 Hg 3.12, 2 I 3.49
Hg 0.8485 0.6515 0.0000  1 Hg 3.12, 2 I 3.49
Pd 0.0000 0.0000 0.5000  4 I 2.68
Pd 0.5000 0.5000 0.5000  4 I 2.68
I 0.1773 0.3227 0.5000  2 Pd 2.68
I 0.3227 0.8227 0.5000  2 Pd 2.68
I 0.6773 0.1773 0.5000  2 Pd 2.68
I 0.8227 0.6773 0.5000  2 Pd 2.68

## Properties
Symmetry ... P4/mbm (127)
DOS(E_F) ... 0.417 states/eV/atom
Formation energy (no corrections) ... 0.028 eV/atom
DFT total energy ... -1.751 eV per atom
Total magnetization ... 0.0 μB/f.u.
Relative energy among the computed polymorphs ... 0 meV per atom